Here is a geometry-optimized LaPuGe structure from the Alexandria database. Energies are from PBE-GGA.

E_tot = -8.2434 eV per atom
Energy above the most stable polymorph in this dataset = 0.714 eV per formula unit
Mass density = 8.220 g/cm3
Calculated volume = 368.12 Å³/cell
Energy of formation from the pure elements = -27.4 kJ/mol of atoms

Unit cell a=7.1669 b=7.1669 c=7.1669 alpha=90.00 beta=90.00 gamma=90.00
Space group F-43m (No. 216)
Asymmetric unit:
1 La 0.0000 0.0000 0.0000 (multiplicity 4)
2 Pu 0.0000 0.0000 0.5000 (multiplicity 4)
3 Ge 0.2500 0.2500 0.2500 (multiplicity 4)

***

Here is a geometry-optimized LaPuGe2 structure from the Alexandria database. Energies are from PBE-GGA.

E_tot = -7.7313 eV per atom
Mass density = 8.624 g/cm3
Calculated volume = 203.39 Å³/cell
Energy of formation from the pure elements = -58.6 kJ/mol of atoms

Unit cell a=4.0341 b=5.9928 c=8.4132 alpha=90.00 beta=90.00 gamma=90.00
Space group Pmc2_1 (No. 26)
Asymmetric unit:
1 La 0.0000 0.1371 0.0000 (multiplicity 2)
2 Pu 0.5000 0.3642 0.6355 (multiplicity 2)
3 Ge 0.0000 0.3868 0.3518 (multiplicity 2)
4 Ge 0.5000 0.1217 0.2849 (multiplicity 2)

***

Here is a geometry-optimized LaPuGe structure from the Alexandria database. Energies are from PBE-GGA.

E_tot = -8.4813 eV per atom
Energy above the most stable polymorph in this dataset = 0.000 eV per formula unit
Mass density = 9.257 g/cm3
Calculated volume = 245.15 Å³/cell
Energy of formation from the pure elements = -50.4 kJ/mol of atoms

Unit cell a=7.8797 b=7.8797 c=4.5592 alpha=90.00 beta=90.00 gamma=120.00
Space group P-62m (No. 189)
Asymmetric unit:
1 La 0.0000 0.4217 0.0000 (multiplicity 3)
2 Pu 0.0000 0.7532 0.5000 (multiplicity 3)
3 Ge 0.0000 0.0000 0.0000 (multiplicity 1)
4 Ge 0.3333 0.6667 0.5000 (multiplicity 2)

***

Here is a geometry-optimized La2PuGe structure from the Alexandria database. Energies are from PBE-GGA.

E_tot = -7.4961 eV per atom
Energy above the most stable polymorph in this dataset = 0.000 eV per formula unit
Mass density = 8.972 g/cm3
Calculated volume = 110.02 Å³/cell
Energy of formation from the pure elements = -28.5 kJ/mol of atoms

Unit cell a=4.8845 b=4.8845 c=4.6116 alpha=90.00 beta=90.00 gamma=90.00
Space group P4/mmm (No. 123)
Asymmetric unit:
1 La 0.0000 0.5000 0.0000 (multiplicity 2)
2 Pu 0.0000 0.0000 0.5000 (multiplicity 1)
3 Ge 0.5000 0.5000 0.5000 (multiplicity 1)

***

Here is a geometry-optimized La2Pu12Ge7 structure from the Alexandria database. Energies are from PBE-GGA.

E_tot = -10.5555 eV per atom
Mass density = 12.217 g/cm3
Calculated volume = 504.86 Å³/cell
Energy of formation from the pure elements = -34.5 kJ/mol of atoms

Unit cell a=11.9931 b=11.9931 c=4.0530 alpha=90.00 beta=90.00 gamma=120.00
Space group P-6 (No. 174)
Asymmetric unit:
1 La 0.0000 0.0000 0.0000 (multiplicity 1)
2 La 0.3333 0.6667 0.5000 (multiplicity 1)
3 Pu 0.0886 0.3106 0.5000 (multiplicity 3)
4 Pu 0.1166 0.7571 0.0000 (multiplicity 3)
5 Pu 0.3963 0.1461 0.0000 (multiplicity 3)
6 Pu 0.5108 0.4071 0.5000 (multiplicity 3)
7 Ge 0.0991 0.5013 0.0000 (multiplicity 3)
8 Ge 0.2269 0.1667 0.5000 (multiplicity 3)
9 Ge 0.6667 0.3333 0.0000 (multiplicity 1)

***

Here is a geometry-optimized La2PuGe6 structure from the Alexandria database. Energies are from PBE-GGA.

E_tot = -6.3062 eV per atom
Mass density = 7.555 g/cm3
Calculated volume = 210.48 Å³/cell
Energy of formation from the pure elements = -52.2 kJ/mol of atoms

Unit cell a=7.6567 b=7.6567 c=4.1457 alpha=90.00 beta=90.00 gamma=120.00
Space group P6/mmm (No. 191)
Asymmetric unit:
1 La 0.3333 0.6667 0.0000 (multiplicity 2)
2 Pu 0.0000 0.0000 0.0000 (multiplicity 1)
3 Ge 0.0000 0.3299 0.5000 (multiplicity 6)